Record 1
A geometry-optimized Pu2SnTe5 structure. Source: Alexandria via LeMat-Bulk, functional PBE-GGA.

Calculated values
Symmetry: Pbam (55)
Theoretical density in Mg/m³: 8.48
Calculated total energy in eV for the cell shown: -107.83
Raw formation energy in eV/atom: -0.692

abc: 8.6127 13.1199 4.3125
angles: 90.00 90.00 90.00
With the nearest neighbours (Å) after each atom.
Element x y z (fractional)
1 Pu 0.0353 0.1735 0.0000  8 Te 3.15-3.31
2 Pu 0.4647 0.6735 0.0000  8 Te 3.15-3.31
3 Pu 0.5353 0.3265 0.0000  8 Te 3.15-3.31
4 Pu 0.9647 0.8265 0.0000  8 Te 3.15-3.31
5 Sn 0.0000 0.5000 0.5000  6 Te 2.98-3.01
6 Sn 0.5000 0.0000 0.5000  6 Te 2.98-3.01
7 Te 0.0000 0.0000 0.5000  4 Pu 3.15
8 Te 0.1759 0.6983 0.5000  1 Sn 3.01, 4 Pu 3.28-3.31
9 Te 0.1797 0.3964 0.0000  2 Sn 2.98, 2 Pu 3.18-3.20
10 Te 0.3203 0.8964 0.0000  2 Sn 2.98, 2 Pu 3.18-3.20
11 Te 0.3241 0.1983 0.5000  1 Sn 3.01, 4 Pu 3.28-3.31
12 Te 0.5000 0.5000 0.5000  4 Pu 3.15
13 Te 0.6759 0.8017 0.5000  1 Sn 3.01, 4 Pu 3.28-3.31
14 Te 0.6797 0.1036 0.0000  2 Sn 2.98, 2 Pu 3.18-3.20
15 Te 0.8203 0.6036 0.0000  2 Sn 2.98, 2 Pu 3.18-3.20
16 Te 0.8241 0.3017 0.5000  1 Sn 3.01, 4 Pu 3.28-3.31

=====

Record 2
A geometry-optimized PuSn4Te5 structure. Source: Alexandria via LeMat-Bulk, functional PBE-GGA.

Calculated values
Symmetry: I4/mmm (139)
Theoretical density in Mg/m³: 6.87
Calculated total energy in eV for the cell shown: -50.27
Raw formation energy in eV/atom: -0.422

abc: 16.3738 16.3738 16.3738
angles: 164.14 164.14 22.50
With the nearest neighbours (Å) after each atom.
Element x y z (fractional)
1 Pu 0.0000 0.0000 0.0000  6 Te 3.19-3.22
2 Sn 0.2014 0.2014 0.0000  6 Te 3.16-3.25
3 Sn 0.4002 0.4002 0.0000  6 Te 3.19-3.22
4 Sn 0.5998 0.5998 0.0000  6 Te 3.19-3.22
5 Sn 0.7986 0.7986 0.0000  6 Te 3.16-3.25
6 Te 0.1001 0.1001 0.0000  5 Sn 3.19-3.25, 1 Pu 3.22
7 Te 0.2999 0.2999 0.0000  6 Sn 3.16-3.22
8 Te 0.5000 0.5000 0.0000  4 Pu 3.19, 2 Sn 3.21
9 Te 0.7001 0.7001 0.0000  6 Sn 3.16-3.22
10 Te 0.8999 0.8999 0.0000  5 Sn 3.19-3.25, 1 Pu 3.22

=====

Record 3
A geometry-optimized Pu2SnTe4 structure. Source: Alexandria via LeMat-Bulk, functional PBE-GGA.

Calculated values
Symmetry: Pbam (55)
ΔE to the lowest computed polymorph in meV per atom: 12
Theoretical density in Mg/m³: 8.06
Calculated total energy in eV for the cell shown: -100.68
Raw formation energy in eV/atom: -0.730

abc: 7.8726 12.6013 4.6393
angles: 90.00 90.00 90.00
With the nearest neighbours (Å) after each atom.
Element x y z (fractional)
1 Pu 0.0953 0.1858 0.0000  6 Te 3.16-3.21
2 Pu 0.4047 0.6858 0.0000  6 Te 3.16-3.21
3 Pu 0.5953 0.3142 0.0000  6 Te 3.16-3.21
4 Pu 0.9047 0.8142 0.0000  6 Te 3.16-3.21
5 Sn 0.0000 0.5000 0.5000  6 Te 3.01-3.12
6 Sn 0.5000 0.0000 0.5000  6 Te 3.01-3.12
7 Te 0.1356 0.7230 0.5000  1 Sn 3.01, 4 Pu 3.16-3.18
8 Te 0.2478 0.9495 0.0000  2 Sn 3.12, 2 Pu 3.20-3.21
9 Te 0.2522 0.4495 0.0000  2 Sn 3.12, 2 Pu 3.20-3.21
10 Te 0.3644 0.2230 0.5000  1 Sn 3.01, 4 Pu 3.16-3.18
11 Te 0.6356 0.7770 0.5000  1 Sn 3.01, 4 Pu 3.16-3.18
12 Te 0.7478 0.5505 0.0000  2 Sn 3.12, 2 Pu 3.20-3.21
13 Te 0.7522 0.0505 0.0000  2 Sn 3.12, 2 Pu 3.20-3.21
14 Te 0.8644 0.2770 0.5000  1 Sn 3.01, 4 Pu 3.16-3.18

=====

Record 4
A geometry-optimized PuThSnTe structure. Source: Alexandria via LeMat-Bulk, functional PBE-GGA.

Calculated values
Symmetry: F-43m (216)
Theoretical density in Mg/m³: 10.61
Calculated total energy in eV for the cell shown: -31.40
Raw formation energy in eV/atom: -0.627

abc: 5.4278 5.4278 5.4278
angles: 60.00 60.00 60.00
With the nearest neighbours (Å) after each atom.
Element x y z (fractional)
1 Pu 0.0000 0.0000 0.0000  4 Te 3.32, 4 Sn 3.32
2 Th 0.5000 0.5000 0.5000  4 Sn 3.32, 4 Te 3.32
3 Sn 0.2500 0.2500 0.2500  4 Th 3.32, 4 Pu 3.32
4 Te 0.7500 0.7500 0.7500  4 Th 3.32, 4 Pu 3.32

=====

Record 5
A geometry-optimized PuTl3Sn2Te6 structure. Source: Alexandria via LeMat-Bulk, functional PBE-GGA.

Calculated values
Symmetry: C2/m (12)
Theoretical density in Mg/m³: 7.31
Calculated total energy in eV for the cell shown: -53.42
Raw formation energy in eV/atom: -0.428

abc: 7.8874 7.8874 8.2539
angles: 99.11 99.11 119.81
With the nearest neighbours (Å) after each atom.
Element x y z (fractional)
1 Pu 0.0000 0.0000 0.0000  6 Te 3.05-3.07
2 Tl 0.1705 0.8295 0.5000  6 Te 3.42-3.49
3 Tl 0.5000 0.5000 0.5000  6 Te 3.43-3.49
4 Tl 0.8295 0.1705 0.5000  6 Te 3.42-3.49
5 Sn 0.3347 0.6653 0.0000  6 Te 3.16-3.17
6 Sn 0.6653 0.3347 0.0000  6 Te 3.16-3.17
7 Te 0.0703 0.3931 0.2141  1 Pu 3.05, 2 Sn 3.16-3.17
8 Te 0.2486 0.2486 0.7799  1 Pu 3.07, 2 Sn 3.17, 2 Tl 3.43
9 Te 0.3931 0.0703 0.2141  1 Pu 3.05, 2 Sn 3.16-3.17
10 Te 0.6069 0.9297 0.7859  1 Pu 3.05, 2 Sn 3.16-3.17
11 Te 0.7514 0.7514 0.2201  1 Pu 3.07, 2 Sn 3.17, 2 Tl 3.43
12 Te 0.9297 0.6069 0.7859  1 Pu 3.05, 2 Sn 3.16-3.17

=====

Record 6
A geometry-optimized Pu5ThSn6 structure. Source: Alexandria via LeMat-Bulk, functional PBE-GGA.

Calculated values
Energy of formation in eV/atom: -0.36
Symmetry: Immm (71)
Theoretical density in Mg/m³: 11.30
Calculated total energy in eV for the cell shown: -107.41

abc: 8.8829 8.8829 8.8829
angles: 148.45 118.33 70.92
With the nearest neighbours (Å) after each atom.
Element x y z (fractional)
1 Pu 0.0000 0.0000 0.0000  8 Sn 3.30-3.34, 4 Pu 3.37
2 Pu 0.1622 0.6622 0.5000  8 Sn 3.25-3.34, 4 Pu 3.37-3.48
3 Pu 0.3353 0.3353 0.0000  8 Sn 3.29-3.33, 2 Th 3.39, 2 Pu 3.48
4 Pu 0.6647 0.6647 0.0000  8 Sn 3.29-3.33, 2 Th 3.39, 2 Pu 3.48
5 Pu 0.8378 0.3378 0.5000  8 Sn 3.25-3.34, 4 Pu 3.37-3.48
6 Th 0.5000 0.0000 0.5000  8 Sn 3.34-3.36, 4 Pu 3.39
7 Sn 0.0788 0.8300 0.2488  7 Pu 3.29-3.34, 4 Sn 3.34-3.45, 1 Th 3.36
8 Sn 0.2471 0.5000 0.7471  6 Pu 3.25-3.31, 2 Th 3.34, 4 Sn 3.45
9 Sn 0.4188 0.1700 0.2488  7 Pu 3.29-3.34, 4 Sn 3.34-3.45, 1 Th 3.36
10 Sn 0.5812 0.8300 0.7512  7 Pu 3.29-3.34, 4 Sn 3.34-3.45, 1 Th 3.36
11 Sn 0.7529 0.5000 0.2529  6 Pu 3.25-3.31, 2 Th 3.34, 4 Sn 3.45
12 Sn 0.9212 0.1700 0.7512  7 Pu 3.29-3.34, 4 Sn 3.34-3.45, 1 Th 3.36

=====

Record 7
A geometry-optimized PuThSn6 structure. Source: Alexandria via LeMat-Bulk, functional PBE-GGA.

Calculated values
Energy of formation in eV/atom: -0.41
Symmetry: P4/mmm (123)
Theoretical density in Mg/m³: 9.44
Calculated total energy in eV for the cell shown: -49.06

abc: 4.7243 4.7243 9.3639
angles: 90.00 90.00 90.00
With the nearest neighbours (Å) after each atom.
Element x y z (fractional)
1 Pu 0.0000 0.0000 0.0000  12 Sn 3.29-3.34
2 Th 0.0000 0.0000 0.5000  12 Sn 3.34-3.36
3 Sn 0.0000 0.5000 0.2449  8 Sn 3.29-3.36, 2 Pu 3.29, 2 Th 3.36
4 Sn 0.0000 0.5000 0.7551  8 Sn 3.29-3.36, 2 Pu 3.29, 2 Th 3.36
5 Sn 0.5000 0.0000 0.2449  8 Sn 3.29-3.36, 2 Pu 3.29, 2 Th 3.36
6 Sn 0.5000 0.0000 0.7551  8 Sn 3.29-3.36, 2 Pu 3.29, 2 Th 3.36
7 Sn 0.5000 0.5000 0.0000  8 Sn 3.29, 4 Pu 3.34
8 Sn 0.5000 0.5000 0.5000  4 Th 3.34, 8 Sn 3.36

=====

Record 8
A geometry-optimized PuTh2Sn structure. Source: Alexandria via LeMat-Bulk, functional PBE-GGA.

Calculated values
Energy of formation in eV/atom: -0.29
Symmetry: P4/mmm (123)
ΔE to the lowest computed polymorph in meV per atom: 0
Theoretical density in Mg/m³: 12.08
Calculated total energy in eV for the cell shown: -34.35

abc: 4.9657 4.9657 4.6083
angles: 90.00 90.00 90.00
With the nearest neighbours (Å) after each atom.
Element x y z (fractional)
1 Pu 0.0000 0.0000 0.0000  8 Th 3.39, 4 Sn 3.51
2 Th 0.0000 0.5000 0.5000  4 Sn 3.39, 4 Pu 3.39, 4 Th 3.51
3 Th 0.5000 0.0000 0.5000  4 Sn 3.39, 4 Pu 3.39, 4 Th 3.51
4 Sn 0.5000 0.5000 0.0000  8 Th 3.39, 4 Pu 3.51

=====

Record 9
A geometry-optimized PuTh2Sn structure. Source: Alexandria via LeMat-Bulk, functional PBE-GGA.

Calculated values
Energy of formation in eV/atom: -0.16
Symmetry: Fm-3m (225)
ΔE to the lowest computed polymorph in meV per atom: 135
Theoretical density in Mg/m³: 12.13
Calculated total energy in eV for the cell shown: -33.80

abc: 5.4298 5.4298 5.4298
angles: 60.00 60.00 60.00
With the nearest neighbours (Å) after each atom.
Element x y z (fractional)
1 Pu 0.0000 0.0000 0.0000  8 Th 3.33
2 Th 0.2500 0.2500 0.2500  4 Sn 3.33, 4 Pu 3.33
3 Th 0.7500 0.7500 0.7500  4 Sn 3.33, 4 Pu 3.33
4 Sn 0.5000 0.5000 0.5000  8 Th 3.33

=====

Record 10
A geometry-optimized PuThSn structure. Source: Alexandria via LeMat-Bulk, functional PBE-GGA.

Calculated values
Energy of formation in eV/atom: -0.34
Symmetry: P4/nmm (129)
ΔE to the lowest computed polymorph in meV per atom: 0
Theoretical density in Mg/m³: 11.23
Calculated total energy in eV for the cell shown: -53.58

abc: 4.4986 4.4986 8.6888
angles: 90.00 90.00 90.00
With the nearest neighbours (Å) after each atom.
Element x y z (fractional)
1 Pu 0.2500 0.7500 0.0000  4 Pu 3.18, 4 Sn 3.28
2 Pu 0.7500 0.2500 0.0000  4 Pu 3.18, 4 Sn 3.28
3 Th 0.2500 0.2500 0.3519  5 Sn 3.24-3.25
4 Th 0.7500 0.7500 0.6481  5 Sn 3.24-3.25
5 Sn 0.2500 0.2500 0.7248  5 Th 3.24-3.25, 4 Pu 3.28
6 Sn 0.7500 0.7500 0.2752  5 Th 3.24-3.25, 4 Pu 3.28

=====

Record 11
A geometry-optimized Pu2ThSn3 structure. Source: Alexandria via LeMat-Bulk, functional PBE-GGA.

Calculated values
Energy of formation in eV/atom: -0.39
Symmetry: P4/mmm (123)
Theoretical density in Mg/m³: 10.94
Calculated total energy in eV for the cell shown: -50.41

abc: 4.1557 4.1557 9.4545
angles: 90.00 90.00 90.00
With the nearest neighbours (Å) after each atom.
Element x y z (fractional)
1 Pu 0.0000 0.0000 0.1647  1 Pu 3.11, 1 Th 3.17, 8 Sn 3.33
2 Pu 0.0000 0.0000 0.8353  1 Pu 3.11, 1 Th 3.17, 8 Sn 3.33
3 Th 0.0000 0.0000 0.5000  2 Pu 3.17, 8 Sn 3.35
4 Sn 0.5000 0.5000 0.0000  2 Sn 3.11, 8 Pu 3.33
5 Sn 0.5000 0.5000 0.3294  2 Sn 3.11-3.23, 4 Pu 3.33, 4 Th 3.35
6 Sn 0.5000 0.5000 0.6706  2 Sn 3.11-3.23, 4 Pu 3.33, 4 Th 3.35

=====

Record 12
A geometry-optimized PuTh4Sn2 structure. Source: Alexandria via LeMat-Bulk, functional PBE-GGA.

Calculated values
Energy of formation in eV/atom: -0.05
Symmetry: R-3m (166)
Theoretical density in Mg/m³: 10.11
Calculated total energy in eV for the cell shown: -52.35

abc: 9.6222 9.6222 9.6222
angles: 32.72 32.72 32.72
With the nearest neighbours (Å) after each atom.
Element x y z (fractional)
1 Pu 0.0000 0.0000 0.0000  2 Sn 3.13, 6 Th 3.25
2 Th 0.2322 0.2322 0.2322  4 Sn 3.15-3.21
3 Th 0.3656 0.3656 0.3656  3 Pu 3.25, 3 Th 3.59
4 Th 0.6344 0.6344 0.6344  3 Pu 3.25, 3 Th 3.59
5 Th 0.7678 0.7678 0.7678  4 Sn 3.15-3.21
6 Sn 0.1145 0.1145 0.1145  1 Pu 3.13, 4 Th 3.15-3.21
7 Sn 0.8855 0.8855 0.8855  1 Pu 3.13, 4 Th 3.15-3.21